A plane-wave DFT calculation with GGA-PBE was carried out for LiSbCl after structural relaxation.

POSCAR file:
```
LiSbCl
1.0
-4.0917 -2.2898 -0.5250
-1.0645 -2.0110 -4.1332
-0.0385 -4.7013 -0.3955
Cl Li Sb
1 1 1
Direct
0.5000 0.5000 0.5000 Cl
0.7500 0.7500 0.7500 Li
0.0000 0.0000 0.0000 Sb
```

Summary:
* N(E_F): 3.7 states/eV per cell
* calculated total energy: -2.6506 eV per atom
* total moment: 0.2 μB/cell